1.
Co2MoPb: relaxed, PBE.

V, Å³/atom: 15.04
ΔE_f, meV/atom: 506

a = 4.2004 Å, b = 3.0028 Å, c = 5.0036 Å
α = 72.43°, β = 90.00°, γ = 90.00°
Site moments in Bohr magnetons follow the coordinates.
Fractional positions:
Co 0.0000 0.1926 0.9897  -0.12
Co 0.5000 0.0500 0.2757  0.34
Mo 0.0000 0.4736 0.4253  -0.06
Pb 0.5000 0.7838 0.8092  0.00

---

2.
CoMo2Pb: relaxed, PBE.

V, Å³/atom: 16.67
ΔE_f, meV/atom: 703

a = 5.0052 Å, b = 5.0052 Å, c = 2.9851 Å
α = 90.00°, β = 90.00°, γ = 116.94°
Site moments in Bohr magnetons follow the coordinates.
Fractional positions:
Co 0.0000 0.5000 0.5000  1.08
Mo 0.0000 0.0000 0.0000  0.04
Mo 0.5000 0.5000 0.0000  0.04
Pb 0.5000 0.0000 0.5000  -0.01

---

3.
Co2MoPb: relaxed, PBE.

V, Å³/atom: 15.68
ΔE_f, meV/atom: 521

a = 3.1097 Å, b = 3.2123 Å, c = 6.2787 Å
α = 90.00°, β = 90.00°, γ = 90.00°
Site moments in Bohr magnetons follow the coordinates.
Fractional positions:
Co 0.0000 0.0000 0.0450  1.07
Co 0.5000 0.5000 0.2470  -0.74
Mo 0.0000 0.0000 0.4309  0.06
Pb 0.5000 0.5000 0.7771  -0.01

---

4.
CoMoPb2: relaxed, PBE.

V, Å³/atom: 19.48
ΔE_f, meV/atom: 848
Energy above the lowest structure with this stoichiometry, meV/atom: 486

a = 5.3260 Å, b = 5.3260 Å, c = 5.3260 Å
α = 142.47°, β = 120.33°, γ = 72.66°
Site moments in Bohr magnetons follow the coordinates.
Fractional positions:
Co 0.7500 0.2500 0.5000  0.28
Mo 0.2500 0.7500 0.5000  0.35
Pb 0.9790 0.9790 0.0000  -0.01
Pb 0.5210 0.5210 0.0000  -0.01

---

5.
Co2MoPb: relaxed, PBE.

V, Å³/atom: 14.92
ΔE_f, meV/atom: 555

a = 4.8922 Å, b = 4.8922 Å, c = 4.8922 Å
α = 133.95°, β = 133.95°, γ = 67.17°
Site moments in Bohr magnetons follow the coordinates.
Fractional positions:
Co 0.0000 0.0000 0.0000  0.87
Co 0.2500 0.7500 0.5000  -0.24
Mo 0.5000 0.5000 0.0000  0.22
Pb 0.7500 0.2500 0.5000  0.00

---

6.
CoMo2Pb: relaxed, PBE.

V, Å³/atom: 17.73
ΔE_f, meV/atom: 580

a = 8.5134 Å, b = 8.5134 Å, c = 8.5134 Å
α = 21.24°, β = 21.24°, γ = 21.24°
Site moments in Bohr magnetons follow the coordinates.
Fractional positions:
Co 0.7399 0.7399 0.7399  0.81
Mo 0.0028 0.0028 0.0028  -0.02
Mo 0.2632 0.2632 0.2632  -0.09
Pb 0.4941 0.4941 0.4941  -0.01

---

7.
CoMo2Pb: relaxed, PBE.

V, Å³/atom: 16.67
ΔE_f, meV/atom: 704

a = 5.4153 Å, b = 5.2133 Å, c = 2.8850 Å
α = 83.49°, β = 71.67°, γ = 115.62°
Site moments in Bohr magnetons follow the coordinates.
Fractional positions:
Co 0.5000 0.5000 0.0000  1.07
Mo 0.0000 0.0000 0.0000  -0.01
Mo 0.5000 0.0000 0.5000  -0.01
Pb 0.0000 0.5000 0.5000  0.00

---

8.
CoMo2Pb: relaxed, PBE.

V, Å³/atom: 16.90
ΔE_f, meV/atom: 453

a = 3.1951 Å, b = 3.1951 Å, c = 6.6236 Å
α = 90.00°, β = 90.00°, γ = 90.00°
Fractional positions:
Co 0.5000 0.5000 0.7961
Mo 0.0000 0.0000 0.9804
Mo 0.5000 0.5000 0.2065
Pb 0.0000 0.0000 0.5170

---

Question: Which of these has the lowest ΔE_f?
Answer: number 8

---

Question: The lowest ΔE_f belongs to which entry?
Answer: number 8